YCd2Au: optimized geometry, PBE.

Lattice parameters (Å, degrees): 7.059 7.059 7.059 90.00 90.00 90.00
Space group F-43m (No. 216)
Unique sites:
1 Y 0.000 0.000 0.000
2 Cd 0.000 0.000 0.500
3 Cd 0.250 0.250 0.750
4 Au 0.250 0.250 0.250

Properties
- DFT formation energy: -0.484 eV/atom
- DOS at the Fermi energy: 0.41 states/eV per atom